Entry 1:
# Sc2NiPt (PBE, optimized geometry)
# - calculated total energy (eV per cell) = -56.11
data_Sc2NiPt
_space_group_name_H-M_alt 'I 4/m m m'
_space_group_IT_number 139
_space_group_name_Hall '-I 4 2'
_cell_length_a 4.5916
_cell_length_b 4.5916
_cell_length_c 6.4777
_cell_angle_alpha 90.00
_cell_angle_beta 90.00
_cell_angle_gamma 90.00
loop_
_atom_site_label
_atom_site_fract_x
_atom_site_fract_y
_atom_site_fract_z
Sc1 0.0000 0.5000 0.2500
Ni1 0.0000 0.0000 0.0000
Pt1 0.0000 0.0000 0.5000

***

Entry 2:
# Sc6Ni5Pt (PBE, optimized geometry)
# - calculated total energy (eV per cell) = -161.05
data_Sc6Ni5Pt
_space_group_name_H-M_alt 'C m m m'
_space_group_IT_number 65
_space_group_name_Hall '-C 2 2'
_cell_length_a 4.5491
_cell_length_b 13.6165
_cell_length_c 6.3189
_cell_angle_alpha 90.00
_cell_angle_beta 90.00
_cell_angle_gamma 90.00
loop_
_atom_site_label
_atom_site_fract_x
_atom_site_fract_y
_atom_site_fract_z
Sc1 0.0000 0.0000 0.2448
Sc2 0.0000 0.3307 0.2475
Ni1 0.0000 0.1641 0.0000
Ni2 0.0000 0.1672 0.5000
Ni3 0.0000 0.5000 0.0000
Pt1 0.0000 0.5000 0.5000

***

Entry 3:
# ScNi3Pt6 (PBE, optimized geometry)
# - calculated total energy (eV per cell) = -127.39
data_ScNi3Pt6
_space_group_name_H-M_alt 'P 1 21/m 1'
_space_group_IT_number 11
_cell_length_a 8.4788
_cell_length_b 3.9342
_cell_length_c 8.8040
_cell_angle_alpha 90.00
_cell_angle_beta 92.49
_cell_angle_gamma 90.00
loop_
_space_group_symop_operation_xyz
'x,y,z'
'-x,-y,-z'
'-x,y+1/2,-z'
'x,-y+1/2,z'
loop_
_atom_site_label
_atom_site_fract_x
_atom_site_fract_y
_atom_site_fract_z
Sc1 0.0631 0.2500 0.3864
Ni1 0.2562 0.2500 0.0038
Ni2 0.3473 0.7500 0.8128
Ni3 0.4475 0.2500 0.6075
Pt1 0.0575 0.7500 0.9054
Pt2 0.1574 0.2500 0.7057
Pt3 0.1591 0.7500 0.2046
Pt4 0.2652 0.7500 0.5131
Pt5 0.3724 0.2500 0.3074
Pt6 0.4587 0.7500 0.1001

***

Entry 4:
# ScNiPt4 (PBE, optimized geometry)
# - calculated total energy (eV per cell) = -155.27
data_ScNiPt4
_space_group_name_H-M_alt 'F -4 3 m'
_space_group_IT_number 216
_space_group_name_Hall 'F -4 2 3'
_cell_length_a 7.4057
_cell_length_b 7.4057
_cell_length_c 7.4057
_cell_angle_alpha 90.00
_cell_angle_beta 90.00
_cell_angle_gamma 90.00
loop_
_atom_site_label
_atom_site_fract_x
_atom_site_fract_y
_atom_site_fract_z
Sc1 0.0000 0.0000 0.0000
Ni1 0.2500 0.2500 0.7500
Pt1 0.1245 0.1245 0.3755

***

Entry 5:
# Sc5NiPt4 (PBE, optimized geometry)
# - calculated total energy (eV per cell) = -72.54
data_Sc5NiPt4
_space_group_name_H-M_alt 'P 4/m m m'
_space_group_IT_number 123
_space_group_name_Hall '-P 4 2'
_cell_length_a 3.2404
_cell_length_b 3.2404
_cell_length_c 16.7832
_cell_angle_alpha 90.00
_cell_angle_beta 90.00
_cell_angle_gamma 90.00
loop_
_atom_site_label
_atom_site_fract_x
_atom_site_fract_y
_atom_site_fract_z
Sc1 0.0000 0.0000 0.0000
Sc2 0.0000 0.0000 0.2042
Sc3 0.0000 0.0000 0.4064
Ni1 0.5000 0.5000 0.5000
Pt1 0.5000 0.5000 0.1022
Pt2 0.5000 0.5000 0.3049

***

Entry 6:
# Sc4Ni3Pt2 (PBE, optimized geometry)
# - calculated total energy (eV per cell) = -61.71
data_Sc4Ni3Pt2
_space_group_name_H-M_alt 'P -1'
_space_group_IT_number 2
_cell_length_a 4.7750
_cell_length_b 4.7821
_cell_length_c 7.9176
_cell_angle_alpha 96.69
_cell_angle_beta 100.61
_cell_angle_gamma 119.80
loop_
_space_group_symop_operation_xyz
'x,y,z'
'-x,-y,-z'
loop_
_atom_site_label
_atom_site_fract_x
_atom_site_fract_y
_atom_site_fract_z
Sc1 0.1812 0.1714 0.3522
Sc2 0.2608 0.6064 0.8681
Ni1 0.0000 0.0000 0.0000
Ni2 0.2424 0.7420 0.5001
Pt1 0.4673 0.7596 0.2253

***

What calculated formation energy values result from the calculations? In sequence: -892, -633, -378, -424, -1094, -774 meV/atom.
What N(E_F) values result from the calculations? In sequence: 2.4, 8.0, 13.8, 6.4, 5.9, 5.9 states/eV/f.u..